1.
Entry from Alexandria via LeMat-Bulk: a geometry-optimized LiBi2S4 structure (PBE).

## Properties
Calculated total energy, eV per atom: -4.14

Cell: 6.8337 6.8337 13.1544 Å, 90.00 90.00 146.10°
Element x y z (fractional)
Li: 0.0725 0.9275 0.7500
Li: 0.9275 0.0725 0.2500
Bi: 0.3621 0.6379 0.5732
Bi: 0.3621 0.6379 0.9268
Bi: 0.6379 0.3621 0.0732
Bi: 0.6379 0.3621 0.4268
S: 0.0000 0.0000 0.0000
S: 0.0000 0.0000 0.5000
S: 0.2731 0.7269 0.1280
S: 0.2731 0.7269 0.3720
S: 0.4647 0.5353 0.7500
S: 0.5353 0.4647 0.2500
S: 0.7269 0.2731 0.6280
S: 0.7269 0.2731 0.8720

=====

2.
Entry from Alexandria via LeMat-Bulk: a geometry-optimized NdTe2 structure (PBE).

## Properties
Calculated total energy, eV per atom: -4.94

Cell: 4.5070 4.5070 9.1886 Å, 90.00 90.00 90.00°
Element x y z (fractional)
Nd: 0.2500 0.2500 0.2284
Nd: 0.7500 0.7500 0.7716
Te: 0.2500 0.2500 0.8703
Te: 0.2500 0.7500 0.5000
Te: 0.7500 0.2500 0.5000
Te: 0.7500 0.7500 0.1297

=====

3.
Entry from Alexandria via LeMat-Bulk: a geometry-optimized Al2HPd8 structure (PBE).

## Properties
Calculated total energy, eV per atom: -5.18

Cell: 7.0403 7.0403 5.5627 Å, 108.34 108.34 37.15°
Element x y z (fractional)
Al: 0.1742 0.1742 0.1703
Al: 0.8258 0.8258 0.8297
H: 0.5000 0.5000 0.5000
Pd: 0.0168 0.0168 0.7665
Pd: 0.1998 0.1998 0.6345
Pd: 0.3533 0.3533 0.1093
Pd: 0.4042 0.4042 0.6441
Pd: 0.5958 0.5958 0.3559
Pd: 0.6467 0.6467 0.8907
Pd: 0.8002 0.8002 0.3655
Pd: 0.9832 0.9832 0.2335

=====

4.
Entry from Alexandria via LeMat-Bulk: a geometry-optimized MnBr3Cl structure (PBE).

## Properties
Calculated total energy, eV per atom: -3.73

Cell: 6.2902 7.2830 6.3527 Å, 90.00 97.97 90.00°
Element x y z (fractional)
Mn: 0.0002 0.2500 0.9997
Mn: 0.9998 0.7500 0.0003
Br: 0.1831 0.9999 0.8211
Br: 0.1831 0.5001 0.8211
Br: 0.2879 0.2500 0.2879
Br: 0.7121 0.7500 0.7121
Br: 0.8169 0.0001 0.1789
Br: 0.8169 0.4999 0.1789
Cl: 0.2661 0.7500 0.2667
Cl: 0.7339 0.2500 0.7333

=====

5.
Entry from Alexandria via LeMat-Bulk: a geometry-optimized PrPd12Pb4 structure (PBE).

## Properties
Calculated total energy, eV per atom: -4.74

Cell: 7.8714 7.8714 7.8714 Å, 109.47 109.47 109.47°
Element x y z (fractional)
Pr: 0.0000 0.0000 0.0000
Pd: 0.1458 0.3545 0.5003
Pd: 0.1458 0.6455 0.7914
Pd: 0.2086 0.8542 0.3545
Pd: 0.3545 0.2086 0.8542
Pd: 0.3545 0.5003 0.1458
Pd: 0.5003 0.1458 0.3545
Pd: 0.4997 0.8542 0.6455
Pd: 0.6455 0.4997 0.8542
Pd: 0.6455 0.7914 0.1458
Pd: 0.7914 0.1458 0.6455
Pd: 0.8542 0.3545 0.2086
Pd: 0.8542 0.6455 0.4997
Pb: 0.0000 0.0000 0.5000
Pb: 0.0000 0.5000 0.0000
Pb: 0.5000 0.0000 0.0000
Pb: 0.5000 0.5000 0.5000

=====

6.
Entry from Alexandria via LeMat-Bulk: a geometry-optimized Sm2AlGa5 structure (PBE).

## Properties
Calculated total energy, eV per atom: -4.04

Cell: 6.1009 6.1009 6.1009 Å, 119.46 119.46 90.94°
Element x y z (fractional)
Sm: 0.0000 0.5000 0.5000
Sm: 0.5000 0.0000 0.5000
Al: 0.4968 0.4968 0.0000
Ga: 0.0042 0.0042 0.0000
Ga: 0.5025 0.5025 0.5050
Ga: 0.5025 0.9976 0.0000
Ga: 0.9976 0.5025 0.0000
Ga: 0.9976 0.9976 0.4950